No. 1
{"formula": "As2SF", "functional": "PBE", "state": "optimized geometry", "lattice": [[0.0000, 3.1591, 3.1591], [3.1591, 0.0000, 3.1591], [3.1591, 3.1591, 0.0000]], "species": ["As", "As", "S", "F"], "frac_coords": [[0.2500, 0.2500, 0.2500], [0.7500, 0.7500, 0.7500], [0.0000, 0.0000, 0.0000], [0.5000, 0.5000, 0.5000]], "magmom_total_mub_per_cell": 0.0, "raw_formation_energy_ev_per_fu": 0.0, "relative_energy_ev_per_fu": 0.72}

***

No. 2
{"formula": "ZrRhBr2", "functional": "PBE", "state": "optimized geometry", "lattice": [[4.5254, 0.0000, 0.0000], [0.0000, 4.5254, 0.0000], [0.0000, 0.0000, 3.7086]], "species": ["Zr", "Rh", "Br", "Br"], "frac_coords": [[0.0000, 0.0000, 0.0000], [0.5000, 0.5000, 0.0000], [0.0000, 0.5000, 0.5000], [0.5000, 0.0000, 0.5000]], "magmom_total_mub_per_cell": 0.0, "raw_formation_energy_ev_per_fu": 0.1, "relative_energy_ev_per_fu": 2.86}

***

No. 3
{"formula": "SrLi2P", "functional": "PBE", "state": "optimized geometry", "lattice": [[2.0969, -5.5438, 0.0000], [2.0969, 5.5438, 0.0000], [0.0000, 0.0000, 7.5068]], "species": ["Sr", "Sr", "Li", "Li", "Li", "Li", "P", "P"], "frac_coords": [[0.0595, 0.9405, 0.7500], [0.9405, 0.0595, 0.2500], [0.3227, 0.6773, 0.5671], [0.3227, 0.6773, 0.9329], [0.6773, 0.3227, 0.0671], [0.6773, 0.3227, 0.4329], [0.2251, 0.7749, 0.2500], [0.7749, 0.2251, 0.7500]], "magmom_total_mub_per_cell": 1.7, "final_energy_ev_per_atom": -3.382}